This record from Alexandria describes an optimized crystal structure of CdRu2. The functional is PBE.

Lattice parameters (Å, degrees): 7.7097 7.7097 4.5045 90.00 90.00 159.07
With the nearest neighbours (Å) after each atom.
Fractional positions:
Cd  0.2130  0.7870  0.7500  6 Cd 2.80-2.88, 4 Ru 2.85-2.91
Cd  0.7870  0.2130  0.2500  6 Cd 2.80-2.88, 4 Ru 2.85-2.91
Ru  0.0975  0.9025  0.2500  8 Ru 2.58-2.80, 2 Cd 2.85
Ru  0.4549  0.5451  0.2500  10 Ru 2.58-2.80
Ru  0.5451  0.4549  0.7500  10 Ru 2.58-2.80
Ru  0.9025  0.0975  0.7500  8 Ru 2.58-2.80, 2 Cd 2.85

Summary:
Calculated total energy: -37.54 eV per cell
SG: Cmcm (63)
Energy relative to the lowest polymorph listed for this composition: 17 kJ/mol of formula units
ΔE_f: 0.23 eV per atom